Record 1
Density functional theory data (PBE) for crystalline Sr3Mg2Sn3 at its relaxed geometry.

Computed properties:
**Total magnetization**: 0.000 μB/atom
**DFT formation energy**: -4.13 eV/f.u.

a b c (Å): 9.158 16.706 6.725
angles (deg): 90.00 90.00 90.00
Sites, in units of the cell vectors:
Sr: 0.044 0.111 0.133
Sr: 0.044 0.389 0.133
Sr: 0.194 0.250 0.596
Sr: 0.306 0.750 0.096
Sr: 0.456 0.611 0.633
Sr: 0.456 0.889 0.633
Sr: 0.544 0.111 0.367
Sr: 0.544 0.389 0.367
Sr: 0.694 0.250 0.904
Sr: 0.806 0.750 0.404
Sr: 0.956 0.611 0.867
Sr: 0.956 0.889 0.867
Mg: 0.090 0.599 0.392
Mg: 0.090 0.901 0.392
Mg: 0.410 0.099 0.892
Mg: 0.410 0.401 0.892
Mg: 0.590 0.599 0.108
Mg: 0.590 0.901 0.108
Mg: 0.910 0.099 0.608
Mg: 0.910 0.401 0.608
Sn: 0.169 0.750 0.585
Sn: 0.212 0.039 0.599
Sn: 0.212 0.461 0.599
Sn: 0.288 0.539 0.099
Sn: 0.288 0.961 0.099
Sn: 0.331 0.250 0.085
Sn: 0.669 0.750 0.915
Sn: 0.712 0.039 0.901
Sn: 0.712 0.461 0.901
Sn: 0.788 0.539 0.401
Sn: 0.788 0.961 0.401
Sn: 0.831 0.250 0.415

Record 2
Density functional theory data (PBE) for crystalline SrPtSe2 at its relaxed geometry.

Computed properties:
**Energy relative to the elements, uncorrected**: -0.2250 eV per atom
**Total magnetization**: 0.000 μB/atom

a b c (Å): 5.047 5.047 5.047
angles (deg): 60.00 60.00 60.00
Sites, in units of the cell vectors:
Sr: 0.000 0.000 0.000
Pt: 0.750 0.750 0.750
Se: 0.250 0.250 0.250
Se: 0.500 0.500 0.500

Record 3
Density functional theory data (PBE) for crystalline MgZrUO6 at its relaxed geometry.

Computed properties:
**Energy relative to the elements, uncorrected**: -3.0340 eV per atom
**Total magnetization**: 0.000 μB/atom

a b c (Å): 5.354 5.354 9.320
angles (deg): 90.00 90.00 120.00
Sites, in units of the cell vectors:
Mg: 0.333 0.667 0.250
Mg: 0.667 0.333 0.750
Zr: 0.000 0.000 0.000
Zr: 0.000 0.000 0.500
U: 0.333 0.667 0.750
U: 0.667 0.333 0.250
O: 0.004 0.333 0.631
O: 0.004 0.671 0.869
O: 0.329 0.333 0.869
O: 0.329 0.996 0.631
O: 0.333 0.004 0.131
O: 0.333 0.329 0.369
O: 0.667 0.671 0.631
O: 0.667 0.996 0.869
O: 0.671 0.004 0.369
O: 0.671 0.667 0.131
O: 0.996 0.329 0.131
O: 0.996 0.667 0.369

> Number 2 is which compound?

SrPtSe2

> What is the total magnetization in the second record?

0.000 μB/atom

> Number 3 is which compound?

MgZrUO6

> Which formula does entry 1 have?

Sr3Mg2Sn3